Material: NpCdIO6
Method: DFT, PBE
State: optimized geometry

The uncorrected energy is -114.96 eV/cell. The calculation puts the calculated density at 7.1 Mg/m³.

The space group is P-31c (No. 163) and the conventional cell measures 5.6911, 5.6911 and 9.5438 Å, with angles of 90.00, 90.00 and 120.00 degrees. Symmetry generates all atoms from Np at (0.3333, 0.6667, 0.2500), Cd at (0.0000, 0.0000, 0.0000), I at (0.3333, 0.6667, 0.7500) and O at (0.0051, 0.3576, 0.6359).

---

Material: RbNpCd2I8
Method: DFT, PBE
State: optimized geometry

The uncorrected energy is -37.68 eV/cell. The calculation puts the calculated density at 4.6 Mg/m³.

The space group is P-3 (No. 147) and the conventional cell measures 7.6540, 7.6540 and 11.1885 Å, with angles of 90.00, 90.00 and 120.00 degrees. Symmetry generates all atoms from Rb at (0.0000, 0.0000, 0.0000), Np at (0.0000, 0.0000, 0.5000), Cd at (0.3333, 0.6667, 0.7559), I at (0.0203, 0.6872, 0.3306) and I at (0.3333, 0.6667, 0.0006).

---

Material: Rb2NpCdI6
Method: DFT, PBE
State: optimized geometry

The uncorrected energy is -68.93 eV/cell. The calculation puts the calculated density at 4.3 Mg/m³.

The space group is Pmmn (No. 59, origin choice 2) and the conventional cell measures 8.979, 12.615 and 8.824 Å, with angles of 90.00, 90.00 and 90.00 degrees. Symmetry generates all atoms from Rb at (0.250, 0.045, 0.229), Np at (0.250, 0.250, 0.746), Cd at (0.250, 0.750, 0.750), I at (0.007, 0.250, 0.996), I at (0.014, 0.250, 0.489) and I at (0.250, 0.004, 0.759).

---

Material: CdI3O
Method: DFT, PBE
State: optimized geometry

The uncorrected energy is -8.98 eV/cell. The calculation puts the calculated density at 6.1 Mg/m³.

The space group is Pm-3m (No. 221) and the conventional cell measures 5.172, 5.172 and 5.172 Å, with angles of 90.00, 90.00 and 90.00 degrees. Symmetry generates all atoms from Cd at (0.000, 0.000, 0.000), I at (0.000, 0.500, 0.500) and O at (0.500, 0.500, 0.500).

---

Material: Cd2I2O
Method: DFT, PBE
State: optimized geometry

The uncorrected energy is -52.69 eV/cell. The calculation puts the calculated density at 5.3 Mg/m³.

The space group is Pnma (No. 62) and the conventional cell measures 7.174, 6.666 and 13.077 Å, with angles of 90.00, 90.00 and 90.00 degrees. Symmetry generates all atoms from Cd at (0.101, 0.250, 0.215), Cd at (0.230, 0.250, 0.481), I at (0.131, 0.750, 0.176), I at (0.179, 0.750, 0.516) and O at (0.185, 0.750, 0.826).

---

Material: Cd2IO6
Method: DFT, PBE
State: optimized geometry

The uncorrected energy is -76.00 eV/cell. The calculation puts the calculated density at 5.9 Mg/m³.

The space group is P4_2/mnm (No. 136) and the conventional cell measures 5.022, 5.022 and 9.964 Å, with angles of 90.00, 90.00 and 90.00 degrees. Symmetry generates all atoms from Cd at (0.000, 0.000, 0.165), I at (0.000, 0.000, 0.500), O at (0.181, 0.181, 0.359) and O at (0.231, 0.231, 0.000).

---

Material: CdI2O7
Method: DFT, PBE
State: optimized geometry

The uncorrected energy is -81.70 eV/cell. The calculation puts the calculated density at 4.9 Mg/m³.

The space group is P-1 (No. 2) and the conventional cell measures 6.864, 7.168 and 8.031 Å, with angles of 111.68, 91.30 and 115.29 degrees. Symmetry generates all atoms from Cd at (0.156, 0.385, 0.316), I at (0.314, 0.958, 0.322), I at (0.317, 0.464, 0.809), O at (0.106, 0.031, 0.263), O at (0.110, 0.694, 0.336), O at (0.219, 0.814, 0.755), O at (0.270, 0.694, 0.967), O at (0.344, 0.558, 0.618), O at (0.378, 0.405, 0.109) and O at (0.408, 0.150, 0.571).

---

Material: Cd3IO4
Method: DFT, PBE
State: optimized geometry

The uncorrected energy is -57.81 eV/cell. The calculation puts the calculated density at 6.4 Mg/m³.

The space group is Pmmn (No. 59, origin choice 2) and the conventional cell measures 4.892, 8.139 and 6.936 Å, with angles of 90.00, 90.00 and 90.00 degrees. Symmetry generates all atoms from Cd at (0.250, 0.021, 0.162), Cd at (0.250, 0.750, 0.622), I at (0.250, 0.250, 0.769), O at (0.250, 0.250, 0.321), O at (0.250, 0.518, 0.821) and O at (0.250, 0.750, 0.283).

---

E_form (uncorrected) per entry: -1370; -795; -938; 308; -657; -541; -213; -597 meV per atom